{
  "formula": "CePu2OsC4",
  "functional": "PBE",
  "state": "optimized geometry",
  "n_ef_per_ev_cell": 32.0,
  "formation_enthalpy_0k_ev_per_atom": 0.0806,
  "lattice": [[-0.275, -0.279, -3.506], [-4.482, -3.331, 2.392], [-7.260, 9.627, -0.198]],
  "species": ["Ce", "Ce", "C", "C", "C", "C", "C", "C", "C", "C", "Pu", "Pu", "Pu", "Pu", "Os", "Os"],
  "fractional_positions": [[0.896, 0.792, 0.250], [0.104, 0.208, 0.750], [0.259, 0.517, 0.125], [0.259, 0.517, 0.375], [0.000, 0.000, 0.500], [0.741, 0.483, 0.625], [0.435, 0.869, 0.750], [0.741, 0.483, 0.875], [0.000, 0.000, 0.000], [0.565, 0.131, 0.250], [0.631, 0.261, 0.459], [0.631, 0.261, 0.041], [0.369, 0.739, 0.959], [0.369, 0.739, 0.541], [0.155, 0.309, 0.250], [0.845, 0.691, 0.750]]
}


{
  "formula": "La3Rh5",
  "functional": "PBE",
  "state": "optimized geometry",
  "n_ef_per_ev_cell": 6.8,
  "formation_enthalpy_0k_ev_per_atom": -0.5224,
  "lattice": [[3.828, -4.717, 0.000], [3.828, 4.717, 0.000], [0.000, 0.000, 4.469]],
  "species": ["Rh", "Rh", "Rh", "Rh", "Rh", "La", "La", "La"],
  "fractional_positions": [[0.283, 0.283, 0.500], [0.000, 0.000, 0.000], [0.500, 0.000, 0.000], [0.000, 0.500, 0.000], [0.717, 0.717, 0.500], [0.203, 0.797, 0.500], [0.500, 0.500, 0.000], [0.797, 0.203, 0.500]]
}


{
  "formula": "Zr4GaGe2",
  "functional": "PBE",
  "state": "optimized geometry",
  "n_ef_per_ev_cell": 12.6,
  "formation_enthalpy_0k_ev_per_atom": -0.3983,
  "lattice": [[-5.556, 3.110, 3.729], [-0.685, -7.347, -0.056], [6.364, 1.777, 3.283]],
  "species": ["Zr", "Zr", "Zr", "Zr", "Zr", "Zr", "Zr", "Zr", "Ge", "Ge", "Ge", "Ge", "Ga", "Ga"],
  "fractional_positions": [[0.315, 0.125, 0.810], [0.875, 0.685, 0.190], [0.935, 0.245, 0.310], [0.315, 0.505, 0.190], [0.495, 0.685, 0.810], [0.755, 0.065, 0.690], [0.935, 0.625, 0.690], [0.375, 0.065, 0.310], [0.625, 0.375, 0.750], [0.625, 0.875, 0.250], [0.625, 0.375, 0.250], [0.125, 0.375, 0.750], [0.000, 0.000, 0.000], [0.250, 0.750, 0.500]]
}


{
  "formula": "BaPIr",
  "functional": "PBE",
  "state": "optimized geometry",
  "n_ef_per_ev_cell": 3.8,
  "formation_enthalpy_0k_ev_per_atom": 1.1880,
  "lattice": [[4.994, 0.000, 0.000], [2.497, 4.325, 0.000], [2.497, 1.442, 4.077]],
  "species": ["P", "Ir", "Ba"],
  "fractional_positions": [[0.500, 0.500, 0.500], [0.000, 0.000, 0.000], [0.750, 0.750, 0.750]]
}


{
  "formula": "Sc2CoCu2Ni5",
  "functional": "PBE",
  "state": "optimized geometry",
  "n_ef_per_ev_cell": 18.0,
  "formation_enthalpy_0k_ev_per_atom": -0.1686,
  "lattice": [[-2.357, -1.644, 2.250], [3.760, -7.486, -1.533], [5.306, 1.329, 6.528]],
  "species": ["Cu", "Cu", "Cu", "Cu", "Ni", "Ni", "Ni", "Ni", "Ni", "Ni", "Ni", "Ni", "Ni", "Ni", "Co", "Co", "Sc", "Sc", "Sc", "Sc"],
  "fractional_positions": [[0.000, 0.120, 0.620], [0.000, 0.880, 0.380], [0.000, 0.620, 0.880], [0.000, 0.380, 0.120], [0.500, 0.801, 0.939], [0.500, 0.939, 0.199], [0.500, 0.561, 0.699], [0.500, 0.000, 0.500], [0.500, 0.061, 0.801], [0.500, 0.439, 0.301], [0.500, 0.500, 0.000], [0.500, 0.301, 0.561], [0.500, 0.199, 0.061], [0.500, 0.699, 0.439], [0.000, 0.000, 0.000], [0.000, 0.500, 0.500], [0.000, 0.322, 0.822], [0.000, 0.178, 0.322], [0.000, 0.822, 0.678], [0.000, 0.678, 0.178]]
}


{
  "formula": "PmHo8Rh6",
  "functional": "PBE",
  "state": "optimized geometry",
  "n_ef_per_ev_cell": 9.2,
  "formation_enthalpy_0k_ev_per_atom": -0.7264,
  "lattice": [[8.290, 0.000, 0.000], [4.145, 7.179, 0.000], [4.145, 2.393, 5.978]],
  "species": ["Rh", "Rh", "Rh", "Rh", "Rh", "Rh", "Pm", "Ho", "Ho", "Ho", "Ho", "Ho", "Ho", "Ho", "Ho"],
  "fractional_positions": [[0.721, 0.391, 0.832], [0.279, 0.609, 0.168], [0.609, 0.944, 0.168], [0.944, 0.279, 0.168], [0.056, 0.721, 0.832], [0.391, 0.056, 0.832], [0.000, 0.000, 0.000], [0.545, 0.226, 0.335], [0.455, 0.774, 0.665], [0.226, 0.894, 0.335], [0.774, 0.106, 0.665], [0.106, 0.455, 0.665], [0.894, 0.545, 0.335], [0.337, 0.337, 0.990], [0.663, 0.663, 0.010]]
}